MgCuRe2, relaxed, DFT PBE-GGA; formation enthalpy at 0 K = 136 kJ/mol of formula units; crystal system = orthorhombic; total magnetization = 0.00 μB/atom; calculated total energy = -7.2953 eV per atom; SG = Cmmm (65)
1.0
1.616 -2.085 0.000
1.616 2.085 0.000
0.000 0.000 8.807
Mg Cu Re
1 1 2
Direct
0.000 0.000 0.000
0.000 0.000 0.500
0.500 0.500 0.263
0.500 0.500 0.737



Mg2CuRe, relaxed, DFT PBE-GGA; formation enthalpy at 0 K = 120 kJ/mol of formula units; crystal system = monoclinic; total magnetization = 0.00 μB/atom; calculated total energy = -4.6230 eV per atom; SG = C2/m (12)
1.0
4.740 -1.394 0.000
4.740 1.394 0.000
-1.325 0.000 4.709
Mg Cu Re
2 1 1
Direct
0.236 0.236 0.248
0.764 0.764 0.752
0.500 0.500 0.000
0.000 0.000 0.500



Mg2CuRe, relaxed, DFT PBE-GGA; formation enthalpy at 0 K = 148 kJ/mol of formula units; crystal system = orthorhombic; total magnetization = 0.00 μB/atom; calculated total energy = -4.5505 eV per atom; SG = Pmmm (47)
1.0
2.939 0.000 0.000
0.000 4.536 0.000
0.000 0.000 4.677
Mg Cu Re
2 1 1
Direct
0.000 0.000 0.000
0.500 0.000 0.500
0.000 0.500 0.500
0.500 0.500 0.000



Mg2CuRe, relaxed, DFT PBE-GGA; formation enthalpy at 0 K = 64 kJ/mol of formula units; crystal system = orthorhombic; total magnetization = 0.00 μB/atom; calculated total energy = -4.7673 eV per atom; SG = Cmmm (65)
1.0
1.675 -2.139 0.000
1.675 2.139 0.000
0.000 0.000 8.719
Mg Cu Re
2 1 1
Direct
0.000 0.000 0.240
0.000 0.000 0.760
0.500 0.500 0.000
0.500 0.500 0.500